No. 1
# Pr2CdPd

A relaxed structure of Pr2CdPd (PBE-GGA, Alexandria via LeMat-Bulk).

As for the density of states at the Fermi level: 0.943 states/eV per atom. The offset from the most stable computed form comes out at 2.180 eV/f.u. For the formation energy, the calculation gives 0.0377 eV/atom.

It has space group R-3m (No. 166, hexagonal axes), with a = 3.4422 Å, b = 3.4422 Å, c = 32.7114 Å, α = 90.00°, β = 90.00° and γ = 120.00°. Symmetry generates all atoms from Pr at (0.0000, 0.0000, 0.0834), Cd at (0.0000, 0.0000, 0.5000) and Pd at (0.0000, 0.0000, 0.0000).


No. 2
# Pr6Cd4Pd13

A relaxed structure of Pr6Cd4Pd13 (PBE-GGA, Alexandria via LeMat-Bulk).

As for the density of states at the Fermi level: 0.469 states/eV per atom. For the formation energy, the calculation gives -0.7234 eV/atom.

It has space group Im-3m (No. 229), with a = 9.9051 Å, b = 9.9051 Å, c = 9.9051 Å, α = 90.00°, β = 90.00° and γ = 90.00°. Symmetry generates all atoms from Pr at (0.0000, 0.0000, 0.3019), Cd at (0.2500, 0.2500, 0.2500), Pd at (0.0000, 0.0000, 0.0000) and Pd at (0.0000, 0.3409, 0.3409).